This record from the Alexandria database describes a geometry-optimized LaCu3P structure. The functional is GGA-PBE.

## Properties
**Distance to the lowest polymorph of the same formula**: 1.6074 eV/atom
**V**: 132.8 Å³/cell

Lattice parameters (Å, degrees): 5.102 5.102 5.102 90.00 90.00 90.00
Fractional positions:
P 0.500 0.500 0.500
Cu 0.000 0.500 0.000
Cu 0.000 0.000 0.500
Cu 0.500 0.000 0.000
La 0.000 0.000 0.000



This record from the Alexandria database describes a geometry-optimized LuPaCuIr structure. The functional is GGA-PBE.

## Properties
**V**: 80.4 Å³/cell
**E**: -28.7 eV per cell

Lattice parameters (Å, degrees): 4.846 4.846 4.846 60.00 60.00 60.00
Fractional positions:
Pa 0.000 0.000 0.000
Lu 0.500 0.500 0.500
Cu 0.250 0.250 0.250
Ir 0.750 0.750 0.750



This record from the Alexandria database describes a geometry-optimized Rb3Ce2CdS6 structure. The functional is GGA-PBE.

## Properties
**V**: 343.3 Å³/cell
**Raw formation energy**: -17.6 eV/f.u.

Lattice parameters (Å, degrees): 7.191 7.191 8.030 98.53 98.53 120.01
Each line ends with the local moment (μB).
Fractional positions:
Rb 0.163 0.837 0.500  0.00
Rb 0.837 0.163 0.500  0.00
Rb 0.500 0.500 0.500  0.00
Ce 0.333 0.667 0.000  0.55
Ce 0.667 0.333 0.000  0.55
Cd 0.000 0.000 0.000  0.00
S 0.935 0.597 0.805  -0.01
S 0.727 0.727 0.193  -0.01
S 0.065 0.403 0.195  -0.01
S 0.597 0.935 0.805  -0.01
S 0.273 0.273 0.807  -0.01
S 0.403 0.065 0.195  -0.01